(1)
{
  "formula": "CoAuBr2",
  "functional": "GGA-PBE",
  "state": "relaxed",
  "spacegroup": "R-3m (166)",
  "e_above_lowest_polymorph_ev_per_atom": 0.068,
  "m_tot_mub_per_fu": 2.01,
  "formation_energy_uncorrected_ev_per_atom": 0.11,
  "n_ef_per_ev_cell": 2.288,
  "density_g_cm3": 7.23,
  "cell": [[1.884, 1.088, 7.762], [-1.884, 1.088, 7.762], [0.000, -2.176, 7.762]],
  "species": ["Co", "Au", "Br", "Br"],
  "fractional_positions": [[0.000, 0.000, 0.000], [0.500, 0.500, 0.500], [0.392, 0.392, 0.392], [0.608, 0.608, 0.608]]
}

=====

(2)
{
  "formula": "ZnNiIr2",
  "functional": "GGA-PBE",
  "state": "relaxed",
  "spacegroup": "P4mm (99)",
  "m_tot_mub_per_fu": 0.00,
  "e_form_ev_per_atom": -0.072,
  "n_ef_per_ev_cell": 3.765,
  "density_g_cm3": 15.57,
  "cell": [[2.725, 0.000, 0.000], [0.000, 2.725, 0.000], [0.000, 0.000, 7.303]],
  "species": ["Zn", "Ni", "Ir", "Ir"],
  "fractional_positions": [[0.000, 0.000, 0.000], [0.500, 0.500, 0.765], [0.000, 0.000, 0.523], [0.500, 0.500, 0.268]]
}

=====

(3)
{
  "formula": "ScPtF3",
  "functional": "GGA-PBE",
  "state": "relaxed",
  "spacegroup": "Pm-3m (221)",
  "e_above_lowest_polymorph_ev_per_atom": 1.218,
  "m_tot_mub_per_fu": 0.00,
  "formation_energy_uncorrected_ev_per_atom": -0.90,
  "n_ef_per_ev_cell": 8.555,
  "density_g_cm3": 5.87,
  "cell": [[4.379, 0.000, 0.000], [0.000, 4.379, 0.000], [0.000, 0.000, 4.379]],
  "species": ["Sc", "Pt", "F", "F", "F"],
  "fractional_positions": [[0.000, 0.000, 0.000], [0.500, 0.500, 0.500], [0.000, 0.500, 0.500], [0.500, 0.000, 0.500], [0.500, 0.500, 0.000]]
}

=====

(4)
{
  "formula": "TaAl2Ag",
  "functional": "GGA-PBE",
  "state": "relaxed",
  "spacegroup": "Pm (6)",
  "e_above_lowest_polymorph_ev_per_atom": 0.114,
  "m_tot_mub_per_fu": 0.00,
  "e_form_ev_per_atom": -0.027,
  "n_ef_per_ev_cell": 1.210,
  "density_g_cm3": 8.41,
  "cell": [[2.851, 0.000, 0.000], [0.000, 4.521, 0.000], [-1.414, 0.000, 5.250]],
  "species": ["Ta", "Al", "Al", "Ag"],
  "fractional_positions": [[0.000, 0.000, 0.000], [0.267, 0.000, 0.528], [0.422, 0.500, 0.843], [0.673, 0.500, 0.345]]
}

=====

(5)
{
  "formula": "CaMn4Os",
  "functional": "GGA-PBE",
  "state": "relaxed",
  "spacegroup": "F-43m (216)",
  "m_tot_mub_per_fu": 3.92,
  "e_form_ev_per_atom": 0.421,
  "n_ef_per_ev_cell": 8.713,
  "density_g_cm3": 9.19,
  "cell": [[0.000, 3.439, 3.439], [3.439, 0.000, 3.439], [3.439, 3.439, 0.000]],
  "species": ["Ca", "Mn", "Mn", "Mn", "Mn", "Os"],
  "fractional_positions": [[0.000, 0.000, 0.000], [0.127, 0.624, 0.624], [0.624, 0.127, 0.624], [0.624, 0.624, 0.127], [0.624, 0.624, 0.624], [0.250, 0.250, 0.250]]
}

=====

(6)
{
  "formula": "SiAu4Cl",
  "functional": "GGA-PBE",
  "state": "relaxed",
  "spacegroup": "F-43m (216)",
  "m_tot_mub_per_fu": 0.00,
  "formation_energy_uncorrected_ev_per_atom": 0.32,
  "n_ef_per_ev_cell": 2.521,
  "density_g_cm3": 11.69,
  "cell": [[0.000, 3.925, 3.925], [3.925, 0.000, 3.925], [3.925, 3.925, 0.000]],
  "species": ["Si", "Au", "Au", "Au", "Au", "Cl"],
  "fractional_positions": [[0.000, 0.000, 0.000], [0.125, 0.625, 0.625], [0.625, 0.125, 0.625], [0.625, 0.625, 0.125], [0.625, 0.625, 0.625], [0.250, 0.250, 0.250]]
}

=====

Repeat the second record exactly.
{
  "formula": "ZnNiIr2",
  "functional": "GGA-PBE",
  "state": "relaxed",
  "spacegroup": "P4mm (99)",
  "m_tot_mub_per_fu": 0.00,
  "e_form_ev_per_atom": -0.072,
  "n_ef_per_ev_cell": 3.765,
  "density_g_cm3": 15.57,
  "cell": [[2.725, 0.000, 0.000], [0.000, 2.725, 0.000], [0.000, 0.000, 7.303]],
  "species": ["Zn", "Ni", "Ir", "Ir"],
  "fractional_positions": [[0.000, 0.000, 0.000], [0.500, 0.500, 0.765], [0.000, 0.000, 0.523], [0.500, 0.500, 0.268]]
}